No. 1
KCaAl2 | PBE | relaxed

Geometry as CIF:
```
data_KCaAl2
_cell_length_a 4.664
_cell_length_b 3.833
_cell_length_c 7.191
_cell_angle_alpha 74.73
_cell_angle_beta 90.00
_cell_angle_gamma 90.00
_symmetry_space_group_name_H-M 'P 1'
_symmetry_Int_Tables_number 1
loop_
_symmetry_equiv_pos_as_xyz
'x,y,z'
loop_
_atom_site_label
_atom_site_type_symbol
_atom_site_fract_x
_atom_site_fract_y
_atom_site_fract_z
Ca1 Ca 0.000 0.483 0.413
K1 K 0.500 0.787 0.798
Al1 Al 0.000 0.164 0.044
Al2 Al 0.500 0.066 0.245
```

- Symmetry: Pm (6)
- Magnetization: 0.0 μB/cell
- Crystal system: monoclinic
- ΔE_f: 0.1030 eV/atom

No. 2
Al4CN2O | PBE | relaxed

Geometry as CIF:
```
data_Al4CN2O
_cell_length_a 4.424
_cell_length_b 4.424
_cell_length_c 5.490
_cell_angle_alpha 113.76
_cell_angle_beta 113.76
_cell_angle_gamma 90.00
_symmetry_space_group_name_H-M 'P 1'
_symmetry_Int_Tables_number 1
loop_
_symmetry_equiv_pos_as_xyz
'x,y,z'
loop_
_atom_site_label
_atom_site_type_symbol
_atom_site_fract_x
_atom_site_fract_y
_atom_site_fract_z
Al1 Al 0.628 0.628 0.744
Al2 Al 0.372 0.884 0.256
Al3 Al 0.884 0.372 0.256
Al4 Al 0.116 0.116 0.744
C1 C 0.000 0.000 0.000
N1 N 0.750 0.250 0.500
N2 N 0.250 0.750 0.500
O1 O 0.500 0.500 0.000
```

- Symmetry: I-42m (121)
- Magnetization: 0.0 μB/cell
- Crystal system: tetragonal
- E_form (uncorrected): -1.30 eV/atom

No. 3
KCeSc4O8 | PBE | relaxed

Geometry as CIF:
```
data_KCeSc4O8
_cell_length_a 6.516
_cell_length_b 6.516
_cell_length_c 6.753
_cell_angle_alpha 61.15
_cell_angle_beta 61.15
_cell_angle_gamma 60.00
_symmetry_space_group_name_H-M 'P 1'
_symmetry_Int_Tables_number 1
loop_
_symmetry_equiv_pos_as_xyz
'x,y,z'
loop_
_atom_site_label
_atom_site_type_symbol
_atom_site_fract_x
_atom_site_fract_y
_atom_site_fract_z
K1 K 0.371 0.371 0.888
Ce1 Ce 0.001 0.001 0.996
Sc1 Sc 0.623 0.623 0.131
Sc2 Sc 0.006 0.485 0.504
Sc3 Sc 0.485 0.006 0.504
Sc4 Sc 0.006 0.006 0.504
O1 O 0.240 0.818 0.703
O2 O 0.818 0.240 0.703
O3 O 0.240 0.240 0.703
O4 O 0.226 0.226 0.321
O5 O 0.746 0.240 0.268
O6 O 0.240 0.746 0.268
O7 O 0.746 0.746 0.268
O8 O 0.754 0.754 0.738
```

- Symmetry: R3m (160)
- Magnetization: 1.0 μB/cell
- Crystal system: trigonal
- E_form (uncorrected): -3.13 eV/atom